(1)
VASP calculation (PBE) on an optimized crystal structure of KCuSO.

Cell: 4.7757 5.0062 8.0086 Å, 93.90 106.23 94.22°
With the nearest neighbours (Å) after each atom.
Space group P1 (No. 1)
Inequivalent atoms, fractional coordinates:
K 0.0000 0.0000 0.0000 (multiplicity 1)  4 O 2.64-2.86
K 0.2213 0.4591 0.6471 (multiplicity 1)  1 O 2.64
Cu 0.5811 0.6904 0.3697 (multiplicity 1)  2 S 2.17
Cu 0.6174 0.1789 0.3620 (multiplicity 1)  1 O 1.92, 1 S 2.14
S 0.5503 0.5268 0.1060 (multiplicity 1)  2 O 1.55-1.63
S 0.6465 0.9800 0.5940 (multiplicity 1)  2 Cu 2.14-2.17
O 0.2387 0.5330 0.9794 (multiplicity 1)  1 S 1.55
O 0.5944 0.2089 0.1204 (multiplicity 1)  1 S 1.63

uncorrected formation energy	-3.448	eV/f.u.
Fermi-level density of states	0.0	states/eV per cell
energy relative to the lowest polymorph listed for this composition	0.020	eV/atom

(2)
VASP calculation (PBE) on an optimized crystal structure of KCuSO.

Cell: 4.0767 6.5231 6.8995 Å, 97.77 104.31 108.02°
With the nearest neighbours (Å) after each atom.
Space group P1 (No. 1)
Inequivalent atoms, fractional coordinates:
K 0.0000 0.0000 0.0000 (multiplicity 1)  2 O 2.68-2.70
K 0.0463 0.3697 0.5891 (multiplicity 1)  3 O 2.65-2.69
Cu 0.2903 0.8711 0.4697 (multiplicity 1)  2 S 2.11
Cu 0.3832 0.6044 0.1959 (multiplicity 1)  3 S 2.28-2.35
S 0.7657 0.4530 0.0712 (multiplicity 1)  2 O 1.55-1.57
S 0.7778 0.8072 0.5139 (multiplicity 1)  3 Cu 2.11-2.30
O 0.6398 0.3480 0.8373 (multiplicity 1)  1 S 1.55
O 0.7053 0.2547 0.1817 (multiplicity 1)  1 S 1.57

uncorrected formation energy	-3.529	eV/f.u.
Fermi-level density of states	0.0	states/eV per cell
energy relative to the lowest polymorph listed for this composition	0.000	eV/atom

(3)
VASP calculation (PBE) on an optimized crystal structure of K2Cu5TeS3O19.

Cell: 7.7286 12.1851 9.4474 Å, 90.00 112.04 90.00°
With the nearest neighbours (Å) after each atom.
Space group P2_1/m (No. 11)
Inequivalent atoms, fractional coordinates:
K 0.0000 0.0000 0.0000 (multiplicity 2)  4 O 2.70-2.82
K 0.0439 0.2500 0.4700 (multiplicity 2)  5 O 2.59-2.83
Cu 0.4637 0.6249 0.7344 (multiplicity 4)  4 O 1.81-1.97
Cu 0.4873 0.1339 0.7212 (multiplicity 4)  4 O 1.79-1.98
Cu 0.5000 0.0000 0.0000 (multiplicity 2)  4 O 1.85-1.98
Te 0.2303 0.2500 0.9318 (multiplicity 2)  3 O 1.95-1.98
S 0.1899 0.7500 0.9458 (multiplicity 2)  4 O 1.48-1.51
S 0.2109 0.5503 0.4022 (multiplicity 4)  4 O 1.45-1.54
O 0.0183 0.2500 0.0921 (multiplicity 2)  1 S 1.51
O 0.0482 0.5994 0.2820 (multiplicity 4)  1 S 1.47
O 0.1785 0.0585 0.4507 (multiplicity 4)  1 S 1.45
O 0.2257 0.7500 0.8021 (multiplicity 2)  1 S 1.48
O 0.2719 0.6315 0.5327 (multiplicity 4)  1 S 1.51
O 0.2717 0.6489 0.0356 (multiplicity 4)  1 S 1.49
O 0.3433 0.2500 0.7752 (multiplicity 2)  1 Te 1.98, 2 Cu 1.98
O 0.3661 0.1239 0.0494 (multiplicity 4)  1 Te 1.95, 2 Cu 1.97-1.98
O 0.3690 0.5322 0.3428 (multiplicity 4)  1 S 1.54
O 0.3933 0.0121 0.7891 (multiplicity 4)  3 Cu 1.85-1.89
O 0.4261 0.2500 0.2909 (multiplicity 2)  2 Cu 1.81
O 0.4599 0.7500 0.3722 (multiplicity 2)  2 Cu 1.79

uncorrected formation energy	-30.793	eV/f.u.
Fermi-level density of states	12.4	states/eV per cell

(4)
VASP calculation (PBE) on an optimized crystal structure of K2Zn2CuS2O2.

Cell: 4.0110 4.0110 23.9080 Å, 90.00 90.00 90.00°
With the nearest neighbours (Å) after each atom.
Space group I4/mmm (No. 139)
Inequivalent atoms, fractional coordinates:
K 0.0000 0.0000 0.0705 (multiplicity 4)  4 O 2.62
Zn 0.0000 0.5000 0.2500 (multiplicity 4)  4 S 2.41
Cu 0.0000 0.0000 0.5000 (multiplicity 2)  4 O 2.01
S 0.0000 0.0000 0.3063 (multiplicity 4)  4 Zn 2.41
O 0.0000 0.5000 0.0000 (multiplicity 4)  2 Cu 2.01

uncorrected formation energy	-6.812	eV/f.u.
Fermi-level density of states	9.0	states/eV per cell

(5)
VASP calculation (PBE) on an optimized crystal structure of K2CuSbO5.

Cell: 3.1381 16.6503 11.1689 Å, 90.00 90.00 90.00°
With the nearest neighbours (Å) after each atom.
Space group Cmc2_1 (No. 36)
Inequivalent atoms, fractional coordinates:
K 0.0000 0.1214 0.0000 (multiplicity 4)  7 O 2.74-3.04
K 0.0000 0.1277 0.6191 (multiplicity 4)  7 O 2.74-3.04
Cu 0.0000 0.4497 0.7596 (multiplicity 4)  3 O 1.75-1.88
Sb 0.0000 0.2145 0.3220 (multiplicity 4)  6 O 1.93-2.13
O 0.0000 0.0870 0.3351 (multiplicity 4)  2 Cu 1.88
O 0.0000 0.2908 0.9417 (multiplicity 4)  2 Sb 2.06
O 0.0000 0.3017 0.7026 (multiplicity 4)  2 Sb 2.08
O 0.0000 0.3302 0.3126 (multiplicity 4)  1 Sb 1.93
O 0.0000 0.4926 0.6168 (multiplicity 4)  1 Cu 1.75

uncorrected formation energy	-10.230	eV/f.u.
Fermi-level density of states	18.8	states/eV per cell

(6)
VASP calculation (PBE) on an optimized crystal structure of K2CuSbO4.

Cell: 6.9295 6.9217 6.0938 Å, 90.00 90.00 90.00°
With the nearest neighbours (Å) after each atom.
Space group Pmn2_1 (No. 31)
Inequivalent atoms, fractional coordinates:
K 0.2489 0.1901 0.0000 (multiplicity 4)  4 O 2.64-2.78
Cu 0.0000 0.3072 0.4914 (multiplicity 2)  4 O 2.03-2.14
Sb 0.0000 0.6481 0.0078 (multiplicity 2)  4 O 1.92-1.96
O 0.0000 0.4286 0.8150 (multiplicity 2)  1 Sb 1.92, 1 Cu 2.14
O 0.0000 0.5697 0.3101 (multiplicity 2)  1 Sb 1.92, 1 Cu 2.13
O 0.2315 0.8054 0.9563 (multiplicity 4)  1 Sb 1.96, 1 Cu 2.03

uncorrected formation energy	-9.835	eV/f.u.
Fermi-level density of states	5.2	states/eV per cell

(7)
VASP calculation (PBE) on an optimized crystal structure of KCuSbO4.

Cell: 7.1318 10.2692 6.6591 Å, 90.00 90.00 90.00°
With the nearest neighbours (Å) after each atom.
Space group Cmcm (No. 63)
Inequivalent atoms, fractional coordinates:
K 0.0000 0.0000 0.0000 (multiplicity 4)  6 O 2.72-2.79
Cu 0.0000 0.3341 0.2500 (multiplicity 4)  2 O 1.89
Sb 0.0000 0.3826 0.7500 (multiplicity 4)  4 O 1.91-1.93
O 0.0000 0.2719 0.5165 (multiplicity 8)  1 Cu 1.89, 1 Sb 1.93
O 0.1992 0.4926 0.2500 (multiplicity 8)  1 Sb 1.91

uncorrected formation energy	-7.366	eV/f.u.
Fermi-level density of states	15.4	states/eV per cell

(8)
VASP calculation (PBE) on an optimized crystal structure of KScCuO3.

Cell: 7.1123 3.3197 8.2316 Å, 90.00 106.65 90.00°
With the nearest neighbours (Å) after each atom.
Space group P2_1/m (No. 11)
Inequivalent atoms, fractional coordinates:
K 0.1957 0.2500 0.2168 (multiplicity 2)  5 O 2.75-3.03
Sc 0.3446 0.7500 0.8658 (multiplicity 2)  5 O 2.03-2.18
Cu 0.1300 0.2500 0.5934 (multiplicity 2)  3 O 1.83-1.99
O 0.1420 0.2500 0.8382 (multiplicity 2)  1 Cu 1.99, 2 Sc 2.17
O 0.2267 0.7500 0.5664 (multiplicity 2)  2 Cu 1.83
O 0.4541 0.7500 0.1224 (multiplicity 2)  3 Sc 2.03-2.18

uncorrected formation energy	-11.469	eV/f.u.
Fermi-level density of states	4.1	states/eV per cell